Entry 1:
Ac2PmZn3Pt4: optimized geometry, PBE.

Properties
* raw total energy: -49.19 eV per cell
* density of states at the Fermi level: 0.691 states/eV/atom
* size of the total moment: 0.00 μB/f.u.

a = 4.368 Å, b = 4.368 Å, c = 11.692 Å
α = 90.00°, β = 90.00°, γ = 90.00°
Element x y z (fractional)
Ac1 0.500 0.000 0.222
Ac2 0.000 0.500 0.778
Pm1 0.500 0.500 0.500
Zn1 0.000 0.000 0.500
Zn2 0.500 0.000 0.882
Zn3 0.000 0.500 0.118
Pt1 0.500 0.500 0.000
Pt2 0.000 0.000 0.000
Pt3 0.500 0.000 0.661
Pt4 0.000 0.500 0.339

Entry 2:
Ac2PmPu: optimized geometry, PBE.

Properties
* E above lowest polymorph: 84 meV per atom
* density of states at the Fermi level: 3.798 states/eV/atom
* size of the total moment: 7.72 μB/f.u.

a = 5.987 Å, b = 5.987 Å, c = 5.987 Å
α = 60.00°, β = 60.00°, γ = 60.00°
Element x y z (fractional)
Ac1 0.250 0.250 0.250
Ac2 0.750 0.750 0.750
Pm1 0.500 0.500 0.500
Pu1 0.000 0.000 0.000

Entry 3:
AcPm2Pu: optimized geometry, PBE.

Properties
* E above lowest polymorph: 18 meV per atom
* density of states at the Fermi level: 2.823 states/eV/atom
* size of the total moment: 6.26 μB/f.u.

a = 3.710 Å, b = 3.710 Å, c = 12.083 Å
α = 81.17°, β = 81.17°, γ = 60.00°
Element x y z (fractional)
Ac1 0.500 0.500 0.499
Pm1 0.078 0.078 0.766
Pm2 0.255 0.255 0.234
Pu1 0.666 0.666 0.001

Entry 4:
AcPmPu: optimized geometry, PBE.

Properties
* E above lowest polymorph: 21 meV per atom
* density of states at the Fermi level: 2.839 states/eV/atom
* size of the total moment: 6.40 μB/f.u.

a = 3.733 Å, b = 3.733 Å, c = 8.882 Å
α = 90.00°, β = 90.00°, γ = 120.00°
Element x y z (fractional)
Ac1 0.333 0.667 0.673
Pm1 0.667 0.333 0.321
Pu1 0.000 0.000 0.007

Entry 5:
AcPmPu: optimized geometry, PBE.

Properties
* E above lowest polymorph: 52 meV per atom
* density of states at the Fermi level: 3.581 states/eV/atom
* size of the total moment: 6.53 μB/f.u.

a = 5.832 Å, b = 6.994 Å, c = 6.716 Å
α = 62.97°, β = 64.26°, γ = 65.36°
Element x y z (fractional)
Pm1 0.465 0.779 0.291
Pm2 0.535 0.221 0.709
Pu1 0.134 0.941 0.790
Pu2 0.866 0.059 0.210
Ac1 0.818 0.602 0.762
Ac2 0.182 0.398 0.238

Entry 6:
Ac2PmPu: optimized geometry, PBE.

Properties
* E above lowest polymorph: 0 meV per atom
* density of states at the Fermi level: 2.723 states/eV/atom
* size of the total moment: 6.45 μB/f.u.

a = 3.801 Å, b = 3.801 Å, c = 10.460 Å
α = 90.00°, β = 90.00°, γ = 90.00°
Element x y z (fractional)
Ac1 0.000 0.000 0.756
Ac2 0.000 0.000 0.244
Pm1 0.500 0.500 0.500
Pu1 0.500 0.500 0.000

Entry 7:
AcPm2Pu: optimized geometry, PBE.

Properties
* E above lowest polymorph: 105 meV per atom
* density of states at the Fermi level: 3.415 states/eV/atom
* size of the total moment: 7.18 μB/f.u.

a = 3.854 Å, b = 6.058 Å, c = 6.058 Å
α = 90.00°, β = 90.00°, γ = 90.00°
Element x y z (fractional)
Ac1 0.500 0.500 0.500
Pm1 0.000 0.000 0.500
Pm2 0.000 0.500 0.000
Pu1 0.500 0.000 0.000

Entry 8:
Ac2PmPu: optimized geometry, PBE.

Properties
* E above lowest polymorph: 183 meV per atom
* density of states at the Fermi level: 3.217 states/eV/atom
* size of the total moment: 6.68 μB/f.u.

a = 3.724 Å, b = 3.724 Å, c = 13.245 Å
α = 81.92°, β = 81.92°, γ = 60.00°
Element x y z (fractional)
Ac1 0.088 0.088 0.737
Ac2 0.912 0.912 0.263
Pm1 0.500 0.500 0.500
Pu1 0.000 0.000 0.000

Entry 9:
AcPmPu4: optimized geometry, PBE.

Properties
* raw total energy: -64.65 eV per cell
* density of states at the Fermi level: 5.220 states/eV/atom
* size of the total moment: 23.37 μB/f.u.

a = 6.333 Å, b = 6.333 Å, c = 6.333 Å
α = 60.00°, β = 60.00°, γ = 60.00°
Element x y z (fractional)
Ac1 0.250 0.250 0.250
Pm1 0.000 0.000 0.000
Pu1 0.625 0.625 0.124
Pu2 0.625 0.124 0.625
Pu3 0.625 0.625 0.625
Pu4 0.124 0.625 0.625

Entry 10:
Ac2PmPu: optimized geometry, PBE.

Properties
* E above lowest polymorph: 32 meV per atom
* density of states at the Fermi level: 4.249 states/eV/atom
* size of the total moment: 6.66 μB/f.u.

a = 5.137 Å, b = 5.395 Å, c = 5.395 Å
α = 90.00°, β = 90.00°, γ = 90.00°
Element x y z (fractional)
Ac1 0.000 0.000 0.500
Ac2 0.000 0.500 0.000
Pu1 0.500 0.500 0.500
Pm1 0.500 0.000 0.000

Entry 11:
AcPm2Pu: optimized geometry, PBE.

Properties
* E above lowest polymorph: 0 meV per atom
* density of states at the Fermi level: 2.596 states/eV/atom
* size of the total moment: 6.51 μB/f.u.

a = 3.704 Å, b = 3.704 Å, c = 10.251 Å
α = 90.00°, β = 90.00°, γ = 90.00°
Element x y z (fractional)
Ac1 0.500 0.500 0.500
Pm1 0.000 0.000 0.772
Pm2 0.000 0.000 0.228
Pu1 0.500 0.500 0.000

Entry 12:
AcPm2Pu: optimized geometry, PBE.

Properties
* E above lowest polymorph: 126 meV per atom
* density of states at the Fermi level: 4.006 states/eV/atom
* size of the total moment: 7.30 μB/f.u.

a = 5.860 Å, b = 5.860 Å, c = 5.860 Å
α = 60.00°, β = 60.00°, γ = 60.00°
Element x y z (fractional)
Ac1 0.500 0.500 0.500
Pm1 0.250 0.250 0.250
Pm2 0.750 0.750 0.750
Pu1 0.000 0.000 0.000